Material: TlFe2As2
Method: DFT, PBE
State: optimized geometry

Calculated values
ΔH_f (0 K), meV/atom: 291
SG: I4/mmm, No. 139
Spin magnetization, μB per formula unit: 0.87
Uncorrected energy, hartree per atom: -0.199
Polymorph energy (0 for the lowest one), meV/atom: 339.4

Lattice parameters (Å, degrees): 6.2534 6.2534 6.2534 144.39 144.39 51.24
Closest atoms and distances in Å follow each position.
Element x y z (fractional)
Tl 0.0000 0.0000 0.0000  8 Fe 3.04, 8 As 3.41
Fe 0.3765 0.3765 0.0000  4 As 2.39
Fe 0.6235 0.6235 0.0000  4 As 2.39
As 0.2500 0.7500 0.5000  4 Fe 2.39
As 0.7500 0.2500 0.5000  4 Fe 2.39